Record 1
{"formula": "ZnNiPdPt", "functional": "PBE", "state": "optimized geometry", "lattice_angstrom": [[6.065, 0.000, 0.000], [0.000, 6.065, 0.000], [0.000, 0.000, 6.065]], "species": ["Zn", "Zn", "Zn", "Zn", "Ni", "Ni", "Ni", "Ni", "Pd", "Pd", "Pd", "Pd", "Pt", "Pt", "Pt", "Pt"], "fractional_positions": [[0.000, 0.000, 0.000], [0.000, 0.500, 0.500], [0.500, 0.000, 0.500], [0.500, 0.500, 0.000], [0.000, 0.000, 0.500], [0.000, 0.500, 0.000], [0.500, 0.000, 0.000], [0.500, 0.500, 0.500], [0.250, 0.250, 0.250], [0.250, 0.750, 0.750], [0.750, 0.250, 0.750], [0.750, 0.750, 0.250], [0.250, 0.250, 0.750], [0.250, 0.750, 0.250], [0.750, 0.250, 0.250], [0.750, 0.750, 0.750]], "m_tot_mub_per_fu": 0.8, "relative_energy_mev_per_atom": 18, "formation_energy_mev_per_atom": -279}

Record 2
{"formula": "CSe2", "functional": "PBE", "state": "optimized geometry", "lattice_angstrom": [[3.016, 0.000, 0.000], [-1.508, 2.612, 0.000], [0.000, 0.000, 6.541]], "species": ["C", "Se", "Se"], "fractional_positions": [[0.000, 0.000, 0.000], [0.667, 0.333, 0.232], [0.667, 0.333, 0.768]], "m_tot_mub_per_fu": 0.0, "relative_energy_mev_per_atom": 1024, "e_form_raw_kj_per_mol_atoms": 152.91}

Record 3
{"formula": "TiInAu", "functional": "PBE", "state": "optimized geometry", "lattice_angstrom": [[4.358, 0.000, 0.000], [0.000, 11.960, 0.000], [0.000, 0.000, 4.318]], "species": ["Ti", "Ti", "Ti", "Ti", "In", "In", "In", "In", "Au", "Au", "Au", "Au"], "fractional_positions": [[0.000, 0.089, 0.250], [0.000, 0.911, 0.750], [0.500, 0.411, 0.750], [0.500, 0.589, 0.250], [0.000, 0.413, 0.250], [0.000, 0.587, 0.750], [0.500, 0.087, 0.750], [0.500, 0.913, 0.250], [0.000, 0.253, 0.750], [0.000, 0.747, 0.250], [0.500, 0.247, 0.250], [0.500, 0.753, 0.750]], "m_tot_mub_per_fu": 0.0, "formation_energy_mev_per_atom": -239}

Record 4
{"formula": "Li4Mg3Au2", "functional": "PBE", "state": "optimized geometry", "lattice_angstrom": [[4.991, -2.290, 0.000], [4.991, 2.290, 0.000], [-4.869, 0.000, 7.007]], "species": ["Li", "Li", "Li", "Li", "Mg", "Mg", "Mg", "Au", "Au"], "fractional_positions": [[0.018, 0.018, 0.168], [0.348, 0.348, 0.607], [0.652, 0.652, 0.393], [0.982, 0.982, 0.832], [0.000, 0.000, 0.500], [0.317, 0.317, 0.934], [0.683, 0.683, 0.066], [0.332, 0.332, 0.275], [0.668, 0.668, 0.725]], "m_tot_mub_per_fu": 0.0, "relative_energy_mev_per_atom": 0, "formation_energy_mev_per_atom": -380}

Record 5
{"formula": "Sc7Cd2In2", "functional": "PBE", "state": "optimized geometry", "lattice_angstrom": [[3.377, -5.307, 0.000], [3.377, 5.307, 0.000], [0.000, 0.000, 7.922]], "species": ["Sc", "Sc", "Sc", "Sc", "Sc", "Sc", "Sc", "Cd", "Cd", "In", "In"], "fractional_positions": [[0.000, 0.000, 0.000], [0.000, 0.500, 0.301], [0.000, 0.500, 0.699], [0.500, 0.000, 0.301], [0.500, 0.000, 0.699], [0.500, 0.500, 0.213], [0.500, 0.500, 0.787], [0.275, 0.725, 0.000], [0.725, 0.275, 0.000], [0.213, 0.213, 0.500], [0.787, 0.787, 0.500]], "m_tot_mub_per_fu": 0.0, "formation_energy_mev_per_atom": 66}

Record 6
{"formula": "Pr6SiAs3S2", "functional": "PBE", "state": "optimized geometry", "lattice_angstrom": [[9.256, -2.125, 0.000], [9.256, 2.125, 0.000], [-1.929, 0.000, 8.279]], "species": ["Pr", "Pr", "Pr", "Pr", "Pr", "Pr", "Si", "As", "As", "As", "S", "S"], "fractional_positions": [[0.001, 0.001, 0.249], [0.334, 0.334, 0.416], [0.334, 0.334, 0.917], [0.666, 0.666, 0.083], [0.666, 0.666, 0.584], [0.999, 0.999, 0.751], [0.500, 0.500, 0.000], [0.168, 0.168, 0.831], [0.500, 0.500, 0.500], [0.832, 0.832, 0.169], [0.169, 0.169, 0.337], [0.831, 0.831, 0.663]], "m_tot_mub_per_fu": 0.0, "e_form_raw_kj_per_mol_atoms": -150.00}

Record 7
{"formula": "TlSi2Pd", "functional": "PBE", "state": "optimized geometry", "lattice_angstrom": [[4.448, 0.000, 0.000], [0.000, 4.448, 0.000], [0.000, 0.000, 16.518]], "species": ["Tl", "Tl", "Tl", "Tl", "Si", "Si", "Si", "Si", "Si", "Si", "Si", "Si", "Pd", "Pd", "Pd", "Pd"], "fractional_positions": [[0.000, 0.000, 0.000], [0.000, 0.500, 0.250], [0.500, 0.000, 0.750], [0.500, 0.500, 0.500], [0.137, 0.250, 0.625], [0.250, 0.637, 0.875], [0.250, 0.863, 0.375], [0.363, 0.250, 0.125], [0.637, 0.750, 0.125], [0.750, 0.137, 0.375], [0.750, 0.363, 0.875], [0.863, 0.750, 0.625], [0.000, 0.000, 0.500], [0.000, 0.500, 0.750], [0.500, 0.000, 0.250], [0.500, 0.500, 0.000]], "m_tot_mub_per_fu": 0.0, "relative_energy_mev_per_atom": 0, "e_form_raw_kj_per_mol_atoms": 13.66}

Record 8
{"formula": "AlInOs2", "functional": "PBE", "state": "optimized geometry", "lattice_angstrom": [[4.111, 0.000, 0.000], [0.000, 4.111, 0.000], [0.000, 0.000, 17.906]], "species": ["Al", "Al", "Al", "Al", "In", "In", "In", "In", "Os", "Os", "Os", "Os", "Os", "Os", "Os", "Os"], "fractional_positions": [[0.000, 0.000, 0.000], [0.000, 0.500, 0.250], [0.500, 0.000, 0.750], [0.500, 0.500, 0.500], [0.000, 0.000, 0.500], [0.000, 0.500, 0.750], [0.500, 0.000, 0.250], [0.500, 0.500, 0.000], [0.160, 0.250, 0.125], [0.250, 0.660, 0.375], [0.250, 0.840, 0.875], [0.340, 0.250, 0.625], [0.660, 0.750, 0.625], [0.750, 0.160, 0.875], [0.750, 0.340, 0.375], [0.840, 0.750, 0.125]], "m_tot_mub_per_fu": 0.0, "relative_energy_mev_per_atom": 491, "formation_energy_mev_per_atom": 596}

Record 9
{"formula": "Ti5Co2Mo2Os", "functional": "PBE", "state": "optimized geometry", "lattice_angstrom": [[9.975, 0.000, 0.000], [0.000, 9.975, 0.000], [0.000, 0.000, 3.056]], "species": ["Ti", "Ti", "Ti", "Ti", "Ti", "Ti", "Ti", "Ti", "Ti", "Ti", "Co", "Co", "Co", "Co", "Mo", "Mo", "Mo", "Mo", "Os", "Os"], "fractional_positions": [[0.000, 0.500, 0.000], [0.061, 0.204, 0.000], [0.204, 0.939, 0.000], [0.296, 0.439, 0.000], [0.439, 0.704, 0.000], [0.500, 0.000, 0.000], [0.561, 0.296, 0.000], [0.704, 0.561, 0.000], [0.796, 0.061, 0.000], [0.939, 0.796, 0.000], [0.128, 0.372, 0.500], [0.372, 0.872, 0.500], [0.628, 0.128, 0.500], [0.872, 0.628, 0.500], [0.175, 0.675, 0.500], [0.325, 0.175, 0.500], [0.675, 0.825, 0.500], [0.825, 0.325, 0.500], [0.000, 0.000, 0.500], [0.500, 0.500, 0.500]], "m_tot_mub_per_fu": 0.0, "formation_energy_mev_per_atom": -137}

Record 10
{"formula": "SiBrN3", "functional": "PBE", "state": "optimized geometry", "lattice_angstrom": [[3.875, 0.000, 0.000], [0.000, 3.875, 0.000], [0.000, 0.000, 3.875]], "species": ["Si", "Br", "N", "N", "N"], "fractional_positions": [[0.000, 0.000, 0.000], [0.500, 0.500, 0.500], [0.000, 0.500, 0.500], [0.500, 0.000, 0.500], [0.500, 0.500, 0.000]], "m_tot_mub_per_fu": 0.0, "e_form_raw_kj_per_mol_atoms": 261.67}

Record 11
{"formula": "YZrSiNi2", "functional": "PBE", "state": "optimized geometry", "lattice_angstrom": [[4.393, 0.000, 0.000], [0.000, 4.393, 0.000], [0.000, 0.000, 4.907]], "species": ["Y", "Zr", "Si", "Ni", "Ni"], "fractional_positions": [[0.000, 0.000, 0.000], [0.500, 0.500, 0.000], [0.500, 0.500, 0.500], [0.000, 0.500, 0.500], [0.500, 0.000, 0.500]], "m_tot_mub_per_fu": 0.0, "e_form_raw_kj_per_mol_atoms": -1.04}

Record 12
{"formula": "Pm4InSn", "functional": "PBE", "state": "optimized geometry", "lattice_angstrom": [[5.298, 0.000, 0.000], [0.000, 5.298, 0.000], [0.000, 0.000, 7.483]], "species": ["Pm", "Pm", "Pm", "Pm", "In", "Sn"], "fractional_positions": [[0.000, 0.500, 0.247], [0.000, 0.500, 0.753], [0.500, 0.000, 0.247], [0.500, 0.000, 0.753], [0.000, 0.000, 0.000], [0.500, 0.500, 0.500]], "m_tot_mub_per_fu": 0.0, "formation_energy_mev_per_atom": -271}

Record 13
{"formula": "Nd6BiSe3S2", "functional": "PBE", "state": "optimized geometry", "lattice_angstrom": [[9.263, -2.118, 0.000], [9.263, 2.118, 0.000], [-2.014, 0.000, 8.303]], "species": ["Nd", "Nd", "Nd", "Nd", "Nd", "Nd", "Bi", "Se", "Se", "Se", "S", "S"], "fractional_positions": [[0.009, 0.009, 0.270], [0.326, 0.326, 0.893], [0.329, 0.329, 0.426], [0.671, 0.671, 0.574], [0.674, 0.674, 0.107], [0.991, 0.991, 0.730], [0.500, 0.500, 0.000], [0.161, 0.161, 0.834], [0.500, 0.500, 0.500], [0.839, 0.839, 0.166], [0.169, 0.169, 0.338], [0.831, 0.831, 0.662]], "m_tot_mub_per_fu": 0.0, "e_form_raw_kj_per_mol_atoms": -165.37}

Record 14
{"formula": "Pm4TlIn2Hg", "functional": "PBE", "state": "optimized geometry", "lattice_angstrom": [[2.725, 1.573, 8.909], [-2.725, 1.573, 8.909], [0.000, -3.147, 8.909]], "species": ["Pm", "Pm", "Pm", "Pm", "Tl", "In", "In", "Hg"], "fractional_positions": [[0.123, 0.123, 0.123], [0.373, 0.373, 0.373], [0.627, 0.627, 0.627], [0.877, 0.877, 0.877], [0.500, 0.500, 0.500], [0.250, 0.250, 0.250], [0.750, 0.750, 0.750], [0.000, 0.000, 0.000]], "m_tot_mub_per_fu": 0.0, "formation_energy_mev_per_atom": -458}

Record 15
{"formula": "CaCdC", "functional": "PBE", "state": "optimized geometry", "lattice_angstrom": [[3.792, 0.000, 0.000], [1.201, 3.825, 0.000], [0.371, 0.643, 9.157]], "species": ["Ca", "Ca", "Cd", "Cd", "C", "C"], "fractional_positions": [[0.106, 0.182, 0.162], [0.894, 0.818, 0.838], [0.303, 0.277, 0.588], [0.697, 0.723, 0.412], [0.413, 0.634, 0.035], [0.587, 0.366, 0.965]], "m_tot_mub_per_fu": 0.0, "formation_energy_mev_per_atom": -52}

Record 16
{"formula": "RbAgSe", "functional": "PBE", "state": "optimized geometry", "lattice_angstrom": [[3.961, 0.000, 0.000], [0.000, 3.961, 0.000], [0.000, 0.000, 11.905]], "species": ["Rb", "Rb", "Ag", "Ag", "Se", "Se"], "fractional_positions": [[0.000, 0.000, 0.000], [0.500, 0.500, 0.500], [0.000, 0.000, 0.264], [0.500, 0.500, 0.764], [0.000, 0.000, 0.723], [0.500, 0.500, 0.223]], "m_tot_mub_per_fu": 0.0, "e_form_raw_kj_per_mol_atoms": -35.42}

Record 17
{"formula": "Dy6CSe4", "functional": "PBE", "state": "optimized geometry", "lattice_angstrom": [[5.580, 3.222, 4.658], [-5.580, 3.222, 4.658], [0.000, -6.443, 4.658]], "species": ["Dy", "Dy", "Dy", "Dy", "Dy", "Dy", "Dy", "Dy", "Dy", "Dy", "Dy", "Dy", "C", "C", "Se", "Se", "Se", "Se", "Se", "Se", "Se", "Se"], "fractional_positions": [[0.055, 0.928, 0.708], [0.072, 0.292, 0.945], [0.208, 0.428, 0.555], [0.292, 0.945, 0.072], [0.428, 0.555, 0.208], [0.445, 0.792, 0.572], [0.555, 0.208, 0.428], [0.572, 0.445, 0.792], [0.708, 0.055, 0.928], [0.792, 0.572, 0.445], [0.928, 0.708, 0.055], [0.945, 0.072, 0.292], [0.000, 0.000, 0.000], [0.500, 0.500, 0.500], [0.124, 0.750, 0.376], [0.250, 0.250, 0.250], [0.250, 0.624, 0.876], [0.376, 0.124, 0.750], [0.624, 0.876, 0.250], [0.750, 0.376, 0.124], [0.750, 0.750, 0.750], [0.876, 0.250, 0.624]], "m_tot_mub_per_fu": 0.0, "e_form_raw_kj_per_mol_atoms": -114.12}

Record 18
{"formula": "Tc8H4Ru", "functional": "PBE", "state": "optimized geometry", "lattice_angstrom": [[6.730, -1.406, 0.000], [6.730, 1.406, 0.000], [-5.856, 0.000, 7.275]], "species": ["Tc", "Tc", "Tc", "Tc", "Tc", "Tc", "Tc", "Tc", "H", "H", "H", "H", "Ru"], "fractional_positions": [[0.038, 0.038, 0.241], [0.299, 0.299, 0.427], [0.338, 0.338, 0.178], [0.374, 0.374, 0.908], [0.626, 0.626, 0.092], [0.662, 0.662, 0.822], [0.701, 0.701, 0.573], [0.962, 0.962, 0.759], [0.150, 0.150, 0.965], [0.331, 0.331, 0.665], [0.669, 0.669, 0.335], [0.850, 0.850, 0.035], [0.000, 0.000, 0.500]], "m_tot_mub_per_fu": 0.0, "total_energy_ev_per_atom": -8.162}

Record 19
{"formula": "Ac3ThTl3Te8", "functional": "PBE", "state": "optimized geometry", "lattice_angstrom": [[4.759, 2.747, 8.193], [-4.759, 2.747, 8.193], [0.000, -5.495, 8.193]], "species": ["Ac", "Ac", "Ac", "Th", "Tl", "Tl", "Tl", "Te", "Te", "Te", "Te", "Te", "Te", "Te", "Te"], "fractional_positions": [[0.000, 0.500, 0.500], [0.500, 0.000, 0.500], [0.500, 0.500, 0.000], [0.000, 0.000, 0.000], [0.000, 0.000, 0.500], [0.000, 0.500, 0.000], [0.500, 0.000, 0.000], [0.231, 0.231, 0.756], [0.231, 0.756, 0.231], [0.244, 0.769, 0.769], [0.257, 0.257, 0.257], [0.743, 0.743, 0.743], [0.756, 0.231, 0.231], [0.769, 0.244, 0.769], [0.769, 0.769, 0.244]], "m_tot_mub_per_fu": 0.0, "e_form_raw_kj_per_mol_atoms": -111.07}

Record 20
{"formula": "HfPbO3", "functional": "PBE", "state": "optimized geometry", "lattice_angstrom": [[0.000, 5.390, 5.390], [5.390, 0.000, 5.390], [5.390, 5.390, 0.000]], "species": ["Hf", "Hf", "Hf", "Hf", "Pb", "Pb", "Pb", "Pb", "O", "O", "O", "O", "O", "O", "O", "O", "O", "O", "O", "O"], "fractional_positions": [[0.000, 0.000, 0.000], [0.000, 0.000, 0.500], [0.000, 0.500, 0.000], [0.500, 0.000, 0.000], [0.000, 0.500, 0.500], [0.500, 0.000, 0.500], [0.500, 0.500, 0.000], [0.500, 0.500, 0.500], [0.079, 0.079, 0.671], [0.079, 0.671, 0.079], [0.079, 0.671, 0.671], [0.329, 0.329, 0.921], [0.329, 0.921, 0.329], [0.329, 0.921, 0.921], [0.671, 0.079, 0.079], [0.671, 0.079, 0.671], [0.671, 0.671, 0.079], [0.921, 0.329, 0.329], [0.921, 0.329, 0.921], [0.921, 0.921, 0.329]], "m_tot_mub_per_fu": 0.0, "e_form_raw_kj_per_mol_atoms": -232.06}

Record 21
{"formula": "Tb3ZnSCl", "functional": "PBE", "state": "optimized geometry", "lattice_angstrom": [[7.581, 0.000, 0.000], [0.000, 3.875, 0.000], [-3.247, 0.000, 10.056]], "species": ["Tb", "Tb", "Tb", "Tb", "Tb", "Tb", "Zn", "Zn", "S", "S", "Cl", "Cl"], "fractional_positions": [[0.171, 0.250, 0.139], [0.204, 0.250, 0.491], [0.318, 0.750, 0.838], [0.682, 0.250, 0.162], [0.796, 0.750, 0.509], [0.829, 0.750, 0.861], [0.012, 0.250, 0.714], [0.988, 0.750, 0.286], [0.406, 0.750, 0.107], [0.594, 0.250, 0.893], [0.473, 0.750, 0.621], [0.527, 0.250, 0.379]], "m_tot_mub_per_fu": 0.1, "e_form_raw_kj_per_mol_atoms": -114.02}

Record 22
{"formula": "K4AgHg", "functional": "PBE", "state": "optimized geometry", "lattice_angstrom": [[0.000, 5.401, 5.401], [5.401, 0.000, 5.401], [5.401, 5.401, 0.000]], "species": ["K", "K", "K", "K", "Ag", "Hg"], "fractional_positions": [[0.124, 0.124, 0.124], [0.124, 0.124, 0.627], [0.124, 0.627, 0.124], [0.627, 0.124, 0.124], [0.750, 0.750, 0.750], [0.500, 0.500, 0.500]], "m_tot_mub_per_fu": 0.0, "relative_energy_mev_per_atom": 305, "formation_energy_mev_per_atom": 240}